1.
VASP calculation (PBE-GGA) on a relaxed HfBeNi4 crystal.

Lattice parameters (Å, degrees): 4.715 4.715 4.715 60.00 60.00 60.00
Fractional coordinates of all 6 atoms:
Hf (0.000, 0.000, 0.000)
Be (0.750, 0.750, 0.750)
Ni (0.376, 0.376, 0.376)
Ni (0.376, 0.376, 0.872)
Ni (0.376, 0.872, 0.376)
Ni (0.872, 0.376, 0.376)

crystal system: cubic
energy relative to the elements: -0.306 eV/atom

2.
VASP calculation (PBE-GGA) on a relaxed GaPbO2F crystal.

Lattice parameters (Å, degrees): 3.994 3.994 4.076 90.00 90.00 90.00
Fractional coordinates of all 5 atoms:
Ga (0.000, 0.000, 0.000)
Pb (0.500, 0.500, 0.500)
O (0.000, 0.500, 0.000)
O (0.500, 0.000, 0.000)
F (0.000, 0.000, 0.500)

E_tot: -5.361 eV per atom
crystal system: tetragonal

3.
VASP calculation (PBE-GGA) on a relaxed Ac2PbCl crystal.

Lattice parameters (Å, degrees): 8.339 8.339 8.339 32.79 32.79 32.79
Fractional coordinates of all 4 atoms:
Ac (0.000, 0.000, 0.000)
Ac (0.177, 0.177, 0.177)
Pb (0.589, 0.589, 0.589)
Cl (0.417, 0.417, 0.417)

energy above the lowest structure with this stoichiometry: 121 meV/atom
crystal system: trigonal

4.
VASP calculation (PBE-GGA) on a relaxed NaZrZn3 crystal.

Lattice parameters (Å, degrees): 5.337 5.337 5.337 90.00 90.00 90.00
Fractional coordinates of all 5 atoms:
Na (0.000, 0.000, 0.000)
Zr (0.500, 0.500, 0.500)
Zn (0.000, 0.500, 0.500)
Zn (0.500, 0.000, 0.500)
Zn (0.500, 0.500, 0.000)

energy above the lowest structure with this stoichiometry: 0 meV/atom
crystal system: cubic
energy relative to the elements: 0.638 eV/atom

5.
VASP calculation (PBE-GGA) on a relaxed La6Tl5Sn crystal.

Lattice parameters (Å, degrees): 9.756 9.756 9.756 146.47 132.07 59.76
Fractional coordinates of all 12 atoms:
La (0.082, 0.336, 0.746)
La (0.243, 0.000, 0.243)
La (0.409, 0.664, 0.746)
La (0.591, 0.336, 0.254)
La (0.757, 0.000, 0.757)
La (0.918, 0.664, 0.254)
Tl (0.175, 0.175, 0.000)
Tl (0.335, 0.835, 0.500)
Tl (0.500, 0.500, 0.000)
Tl (0.665, 0.165, 0.500)
Tl (0.825, 0.825, 0.000)
Sn (0.000, 0.500, 0.500)

crystal system: orthorhombic
energy relative to the elements: -0.483 eV/atom

6.
VASP calculation (PBE-GGA) on a relaxed Y2TmTh3Se6 crystal.

Lattice parameters (Å, degrees): 9.472 9.472 8.504 108.55 108.55 24.55
Fractional coordinates of all 12 atoms:
Y (0.167, 0.167, 0.333)
Y (0.833, 0.833, 0.667)
Tm (0.500, 0.500, 0.000)
Th (0.167, 0.167, 0.833)
Th (0.500, 0.500, 0.500)
Th (0.833, 0.833, 0.167)
Se (0.003, 0.003, 0.237)
Se (0.330, 0.330, 0.426)
Se (0.339, 0.339, 0.910)
Se (0.661, 0.661, 0.090)
Se (0.670, 0.670, 0.574)
Se (0.997, 0.997, 0.763)

E_tot: -6.674 eV per atom
crystal system: monoclinic

7.
VASP calculation (PBE-GGA) on a relaxed Cr2ReHg crystal.

Lattice parameters (Å, degrees): 2.912 3.710 5.721 90.00 90.00 90.00
Fractional coordinates of all 4 atoms:
Cr (0.000, 0.000, 0.186)
Cr (0.000, 0.000, 0.814)
Re (0.500, 0.500, 0.000)
Hg (0.500, 0.500, 0.500)

crystal system: orthorhombic
energy relative to the elements: 0.414 eV/atom

8.
VASP calculation (PBE-GGA) on a relaxed PPtAu crystal.

Lattice parameters (Å, degrees): 5.135 5.135 5.135 142.12 142.12 54.65
Fractional coordinates of all 3 atoms:
P (0.000, 0.000, 0.000)
Pt (0.586, 0.586, 0.000)
Au (0.280, 0.280, 0.000)

energy above the lowest structure with this stoichiometry: 124 meV/atom
crystal system: tetragonal
energy relative to the elements: -0.014 eV/atom